No. 1
Compound: Ti3AlZn
Source: Alexandria
Functional: PBE
Structure: relaxed

Results
Its total energy is -5.608 eV/atom. The formation energy comes out at 0.132 eV per atom. As for the volume: 17.63 Å³/atom. The calculation puts the excess energy over the best structure of this formula in the dataset at 380 meV/atom.

a b c (Å): 6.419 6.419 4.940
angles (deg): 90.00 90.00 120.00
Positions (direct):
Ti 0.197 0.395 0.250
Ti 0.197 0.803 0.250
Ti 0.395 0.197 0.750
Ti 0.605 0.803 0.250
Ti 0.803 0.197 0.750
Ti 0.803 0.605 0.750
Al 0.333 0.667 0.750
Al 0.667 0.333 0.250
Zn 0.000 0.000 0.000
Zn 0.000 0.000 0.500

No. 2
Compound: Ti4AlZn3
Source: Alexandria
Functional: PBE
Structure: relaxed

Results
Its total energy is -5.135 eV/atom. The formation energy comes out at -0.242 eV per atom. As for the volume: 15.68 Å³/atom.

a b c (Å): 3.961 3.978 7.962
angles (deg): 90.00 90.00 90.00
Positions (direct):
Ti 0.000 0.000 0.000
Ti 0.000 0.000 0.500
Ti 0.000 0.500 0.248
Ti 0.000 0.500 0.752
Al 0.500 0.500 0.500
Zn 0.500 0.000 0.251
Zn 0.500 0.000 0.749
Zn 0.500 0.500 0.000

No. 3
Compound: TiAl3Zn
Source: Alexandria
Functional: PBE
Structure: relaxed

Results
Its total energy is -3.178 eV/atom. The formation energy comes out at 0.902 eV per atom. As for the volume: 25.35 Å³/atom. The calculation puts the excess energy over the best structure of this formula in the dataset at 967 meV/atom.

a b c (Å): 5.023 5.023 5.023
angles (deg): 90.00 90.00 90.00
Positions (direct):
Ti 0.000 0.000 0.000
Al 0.000 0.000 0.500
Al 0.000 0.500 0.000
Al 0.500 0.000 0.000
Zn 0.500 0.500 0.500

No. 4
Compound: Ti3Al2Zn2
Source: Alexandria
Functional: PBE
Structure: relaxed

Results
Its total energy is -5.107 eV/atom. The formation energy comes out at -0.290 eV per atom. As for the volume: 15.99 Å³/atom. The calculation puts the excess energy over the best structure of this formula in the dataset at 23 meV/atom.

a b c (Å): 9.375 9.375 9.375
angles (deg): 161.70 154.34 31.70
Positions (direct):
Ti 0.000 0.000 0.000
Ti 0.294 0.794 0.500
Ti 0.706 0.206 0.500
Al 0.142 0.642 0.500
Al 0.858 0.358 0.500
Zn 0.433 0.433 0.000
Zn 0.567 0.567 0.000

No. 5
Compound: Ti3Al2Zn
Source: Alexandria
Functional: PBE
Structure: relaxed

Results
Its total energy is -5.744 eV/atom. The formation energy comes out at -0.336 eV per atom. As for the volume: 15.94 Å³/atom. The calculation puts the excess energy over the best structure of this formula in the dataset at 0 meV/atom.

a b c (Å): 2.814 2.814 12.078
angles (deg): 90.00 90.00 90.00
Positions (direct):
Ti 0.000 0.000 0.000
Ti 0.000 0.000 0.336
Ti 0.000 0.000 0.664
Al 0.500 0.500 0.169
Al 0.500 0.500 0.831
Zn 0.500 0.500 0.500

No. 6
Compound: Ti6AlZn2
Source: Alexandria
Functional: PBE
Structure: relaxed

Results
Its total energy is -6.003 eV/atom. The formation energy comes out at -0.041 eV per atom. As for the volume: 16.87 Å³/atom. The calculation puts the excess energy over the best structure of this formula in the dataset at 0 meV/atom.

a b c (Å): 7.344 7.344 7.344
angles (deg): 113.42 109.39 105.70
Positions (direct):
Ti 0.049 0.818 0.231
Ti 0.257 0.561 0.304
Ti 0.257 0.954 0.696
Ti 0.285 0.296 0.581
Ti 0.285 0.704 0.990
Ti 0.414 0.182 0.231
Ti 0.586 0.818 0.769
Ti 0.715 0.296 0.010
Ti 0.715 0.704 0.419
Ti 0.743 0.046 0.304
Ti 0.743 0.439 0.696
Ti 0.951 0.182 0.769
Al 0.000 0.500 0.500
Al 0.500 0.000 0.500
Zn 0.000 0.152 0.152
Zn 0.000 0.848 0.848
Zn 0.365 0.365 0.000
Zn 0.635 0.635 0.000